Record 1
SiMo3: relaxed, PBEsol.

a = 3.211 Å, b = 3.211 Å, c = 5.654 Å
α = 90.00°, β = 90.00°, γ = 90.00°
Space group P4/mmm (No. 123)
Unique sites:
Si (0.000, 0.000, 0.000) x1
Mo (0.000, 0.000, 0.500) x1
Mo (0.500, 0.500, 0.236) x2

Summary:
Magnetic moment   0.0 μB per formula unit
Density of states at the Fermi level   3.1 states/eV/f.u.
Volume   14.577 A^3/atom
VASP energy   -10.361 eV/atom
Offset from the most stable computed form   272.1 meV/atom

Record 2
Si3Mo: relaxed, PBEsol.

a = 6.035 Å, b = 6.035 Å, c = 6.035 Å
α = 90.00°, β = 90.00°, γ = 90.00°
Space group Fm-3m (No. 225)
Unique sites:
Si (0.000, 0.000, 0.000) x4
Si (0.250, 0.250, 0.250) x8
Mo (0.000, 0.000, 0.500) x4

Summary:
Magnetic moment   0.0 μB per formula unit
Density of states at the Fermi level   3.0 states/eV/f.u.
Volume   13.741 A^3/atom
VASP energy   -6.959 eV/atom
Offset from the most stable computed form   371.1 meV/atom